A relaxed structure of PPd2WN, computed with PBE-GGA.

Output
- E (eV/atom) = -5.475
- formation energy without anion corrections (eV per atom) = 1.9394
- total magnetic moment (μB/f.u.) = 2.6

Cell: 4.952 4.952 4.595 Å, 90.00 90.00 90.00°
Space group P4/mmm (No. 123)
Asymmetric unit:
P1 0.000 0.000 0.000 x1
Pd1 0.000 0.500 0.500 x2
W1 0.000 0.000 0.500 x1
N1 0.500 0.500 0.000 x1



A relaxed structure of Sr2OsBrN, computed with PBE-GGA.

Output
- E (eV/atom) = -5.704
- formation energy without anion corrections (eV per atom) = -0.7859
- total magnetic moment (μB/f.u.) = 0.0

Cell: 5.558 5.558 3.803 Å, 90.00 90.00 90.00°
Space group P4/mmm (No. 123)
Asymmetric unit:
Sr1 0.000 0.500 0.000 x2
Os1 0.000 0.000 0.500 x1
Br1 0.500 0.500 0.500 x1
N1 0.000 0.000 0.000 x1